# 1
PBE Ho2SiPb, relaxed; crystal system = orthorhombic; VASP energy = -20.41 eV per cell
1.0
4.119 0.000 0.000
0.000 2.188 5.559
0.000 -2.188 5.559
Ho Si Pb
2 1 1
direct
0.000 0.000 0.000
0.500 0.278 0.278
0.000 0.740 0.740
0.500 0.558 0.558

# 2
PBE SmHoPb, relaxed; excess energy over the best structure of this formula in the dataset = 0.000 eV/atom; crystal system = cubic
1.0
0.000 3.683 3.683
3.683 0.000 3.683
3.683 3.683 0.000
Sm Ho Pb
1 1 1
direct
0.000 0.000 0.000
0.500 0.500 0.500
0.750 0.750 0.750

# 3
PBE SrHoPb, relaxed; crystal system = cubic; VASP energy = -10.63 eV per cell
1.0
0.000 3.821 3.821
3.821 0.000 3.821
3.821 3.821 0.000
Sr Ho Pb
1 1 1
direct
0.000 0.000 0.000
0.500 0.500 0.500
0.750 0.750 0.750

# 4
PBE HoTaPb, relaxed; excess energy over the best structure of this formula in the dataset = 0.000 eV/atom; crystal system = cubic
1.0
0.000 3.435 3.435
3.435 0.000 3.435
3.435 3.435 0.000
Ho Ta Pb
1 1 1
direct
0.000 0.000 0.000
0.500 0.500 0.500
0.250 0.250 0.250